# 1
# MnNi3 | Alexandria via LeMat-Bulk | SCAN | PBEsol geometry
data_MnNi3
_cell_length_a 4.3346
_cell_length_b 8.0839
_cell_length_c 4.9523
_cell_angle_alpha 90.00
_cell_angle_beta 90.00
_cell_angle_gamma 90.00
_space_group_name_H-M_alt 'P n m a'
_space_group_IT_number 62
loop_
_space_group_symop_operation_xyz
'x,y,z'
'-x,-y,-z'
'-x+1/2,-y,z+1/2'
'x+1/2,y,-z+1/2'
'x+1/2,-y+1/2,-z+1/2'
'-x+1/2,y+1/2,z+1/2'
'-x,y+1/2,-z'
'x,-y+1/2,z'
loop_
_atom_site_label
_atom_site_type_symbol
_atom_site_fract_x
_atom_site_fract_y
_atom_site_fract_z
_atom_site_occupancy
Mn1 Mn 0.0811 0.2500 0.1085 1
Ni1 Ni 0.0842 0.2500 0.6156 1
Ni2 Ni 0.2426 0.0004 0.3680 1
# E_form: -0.142 eV/atom
# final energy: -269.37 eV/cell


# 2
# MnNi3 | Alexandria via LeMat-Bulk | SCAN | PBEsol geometry
data_MnNi3
_cell_length_a 3.5008
_cell_length_b 3.5008
_cell_length_c 3.5008
_cell_angle_alpha 90.00
_cell_angle_beta 90.00
_cell_angle_gamma 90.00
_space_group_name_H-M_alt 'P m -3 m'
_space_group_IT_number 221
_space_group_name_Hall '-P 4 2 3'
loop_
_atom_site_label
_atom_site_type_symbol
_atom_site_fract_x
_atom_site_fract_y
_atom_site_fract_z
_atom_site_occupancy
Mn1 Mn 0.0000 0.0000 0.0000 1
Ni1 Ni 0.0000 0.5000 0.5000 1
# E_form: -0.265 eV/atom
# final energy: -67.83 eV/cell


# 3
# MnNi2 | Alexandria via LeMat-Bulk | SCAN | PBEsol geometry
data_MnNi2
_cell_length_a 3.4388
_cell_length_b 10.7014
_cell_length_c 3.5596
_cell_angle_alpha 90.00
_cell_angle_beta 90.00
_cell_angle_gamma 90.00
_space_group_name_H-M_alt 'C m c m'
_space_group_IT_number 63
_space_group_name_Hall '-C 2c 2'
loop_
_atom_site_label
_atom_site_type_symbol
_atom_site_fract_x
_atom_site_fract_y
_atom_site_fract_z
_atom_site_occupancy
Mn1 Mn 0.0000 0.0900 0.2500 1
Ni1 Ni 0.0000 0.2501 0.7500 1
Ni2 Ni 0.0000 0.4168 0.2500 1
# E_form: -0.225 eV/atom
# final energy: -205.10 eV/cell


# 4
# MnNi3 | Alexandria via LeMat-Bulk | SCAN | PBEsol geometry
data_MnNi3
_cell_length_a 2.5228
_cell_length_b 8.0841
_cell_length_c 4.2630
_cell_angle_alpha 90.00
_cell_angle_beta 90.00
_cell_angle_gamma 90.00
_space_group_name_H-M_alt 'I m m 2'
_space_group_IT_number 44
loop_
_space_group_symop_operation_xyz
'x,y,z'
'-x,-y,z'
'-x,y,z'
'x,-y,z'
'x+1/2,y+1/2,z+1/2'
'-x+1/2,-y+1/2,z+1/2'
'-x+1/2,y+1/2,z+1/2'
'x+1/2,-y+1/2,z+1/2'
loop_
_atom_site_label
_atom_site_type_symbol
_atom_site_fract_x
_atom_site_fract_y
_atom_site_fract_z
_atom_site_occupancy
Mn1 Mn 0.0000 0.0000 0.0000 1
Ni1 Ni 0.0000 0.2483 0.3413 1
Ni2 Ni 0.0000 0.5000 0.0006 1
# E_form: -0.123 eV/atom
# final energy: -134.54 eV/cell


# 5
# Mn4NiO8 | Alexandria via LeMat-Bulk | SCAN | PBEsol geometry
data_Mn4NiO8
_cell_length_a 9.9120
_cell_length_b 5.6714
_cell_length_c 5.7044
_cell_angle_alpha 90.00
_cell_angle_beta 123.53
_cell_angle_gamma 90.00
_space_group_name_H-M_alt 'C 1 2/m 1'
_space_group_IT_number 12
loop_
_space_group_symop_operation_xyz
'x,y,z'
'-x,-y,-z'
'-x,y,-z'
'x,-y,z'
'x+1/2,y+1/2,z'
'-x+1/2,-y+1/2,-z'
'-x+1/2,y+1/2,-z'
'x+1/2,-y+1/2,z'
loop_
_atom_site_label
_atom_site_type_symbol
_atom_site_fract_x
_atom_site_fract_y
_atom_site_fract_z
_atom_site_occupancy
Mn1 Mn 0.0000 0.0000 0.0000 1
Mn2 Mn 0.0000 0.5000 0.5000 1
Mn3 Mn 0.2500 0.2500 0.0000 1
Ni1 Ni 0.0000 0.5000 0.0000 1
O1 O 0.0192 0.2517 0.7721 1
O2 O 0.2305 0.5000 0.1968 1
O3 O 0.2437 0.0000 0.2191 1
# final energy: -327.46 eV/cell
# E_form (uncorrected): -24.69 eV per formula unit


# 6
# Mn15NiO32 | Alexandria via LeMat-Bulk | SCAN | PBEsol geometry
data_Mn15NiO32
_cell_length_a 11.3334
_cell_length_b 11.3334
_cell_length_c 13.8416
_cell_angle_alpha 90.00
_cell_angle_beta 90.00
_cell_angle_gamma 120.00
_space_group_name_H-M_alt 'R -3 m'
_space_group_IT_number 166
_space_group_name_Hall '-R 3 2"'
loop_
_atom_site_label
_atom_site_type_symbol
_atom_site_fract_x
_atom_site_fract_y
_atom_site_fract_z
_atom_site_occupancy
Mn1 Mn 0.0000 0.2500 0.0000 1
Mn2 Mn 0.0000 0.5000 0.5000 1
Mn3 Mn 0.0832 0.1663 0.6657 1
Ni1 Ni 0.0000 0.0000 0.5000 1
O1 O 0.0000 0.0000 0.2639 1
O2 O 0.9995 0.4998 0.2634 1
O3 O 0.0183 0.2589 0.7451 1
O4 O 0.0736 0.1471 0.4132 1
O5 O 0.0925 0.1851 0.9212 1
# final energy: -1751.59 eV/cell
# E_form (uncorrected): -94.46 eV per formula unit